{
  "formula": "TlSbS3",
  "functional": "GGA-PBE",
  "state": "relaxed",
  "lattice": [[-3.8068, 5.1430, 0.3405], [-1.5701, -5.5765, -2.7377], [-3.3000, -2.9681, 7.9385]],
  "species": ["Tl", "Tl", "Sb", "Sb", "S", "S", "S", "S", "S", "S"],
  "frac_coords": [[0.4509, 0.8721, 0.2500], [0.8721, 0.4509, 0.7500], [0.1603, 0.1603, 0.5000], [0.1603, 0.1603, 0.0000], [0.2494, 0.5778, 0.5206], [0.2494, 0.5778, 0.9794], [0.9654, 0.9743, 0.2500], [0.5778, 0.2494, 0.0206], [0.5778, 0.2494, 0.4794], [0.9743, 0.9654, 0.7500]],
  "de_polymorph_kj_per_mol_atoms": 13.0
}

{
  "formula": "MgPd5Pb2",
  "functional": "GGA-PBE",
  "state": "relaxed",
  "lattice": [[6.7831, 0.0001, -0.0527], [0.0065, 6.0269, 0.0064], [-3.4229, -3.0097, 3.5221]],
  "species": ["Mg", "Pd", "Pd", "Pd", "Pd", "Pd", "Pb", "Pb"],
  "frac_coords": [[0.1830, 0.1749, 0.3500], [0.7336, 0.2760, 0.0187], [0.2142, 0.1904, 0.8739], [0.7353, 0.7439, 0.0207], [0.2143, 0.6833, 0.8741], [0.7255, 0.7561, 0.5114], [0.2634, 0.7153, 0.4315], [0.7077, 0.2370, 0.4739]],
  "de_polymorph_kj_per_mol_atoms": 0.0,
  "delta_e_f_ev_per_atom": -0.340
}

{
  "formula": "Li6Cd6Pb",
  "functional": "GGA-PBE",
  "state": "relaxed",
  "lattice": [[-1.4535, -5.2389, -1.8738], [4.6142, 2.6545, -2.1755], [5.6072, -4.0444, 6.9581]],
  "species": ["Li", "Li", "Li", "Li", "Li", "Li", "Cd", "Cd", "Cd", "Cd", "Cd", "Cd", "Pb"],
  "frac_coords": [[0.0000, 0.0000, 0.6541], [0.0000, 0.0000, 0.3459], [0.3333, 0.6667, 0.0000], [0.6667, 0.3333, 0.0000], [0.3333, 0.6667, 0.5000], [0.6667, 0.3333, 0.5000], [0.0000, 0.5000, 0.7500], [0.5000, 0.0000, 0.7500], [0.5000, 0.5000, 0.7500], [0.5000, 0.0000, 0.2500], [0.0000, 0.5000, 0.2500], [0.5000, 0.5000, 0.2500], [0.0000, 0.0000, 0.0000]],
  "delta_e_f_ev_per_atom": -0.155
}

{
  "formula": "Tb3Ho5Er4",
  "functional": "GGA-PBE",
  "state": "relaxed",
  "lattice": [[6.8214, -0.5633, 1.6523], [-5.1216, 7.6297, -6.2630], [4.1945, -4.1903, 11.2044]],
  "species": ["Tb", "Tb", "Tb", "Ho", "Ho", "Ho", "Ho", "Ho", "Er", "Er", "Er", "Er"],
  "frac_coords": [[0.5839, 0.1672, 0.3336], [0.0000, 0.0000, 0.5000], [0.4161, 0.8328, 0.6664], [0.3335, 0.6672, 0.8337], [0.5000, 0.0000, 0.5000], [0.7495, 0.5004, 0.0004], [0.2505, 0.4996, 0.9996], [0.6665, 0.3328, 0.1663], [0.9170, 0.8332, 0.6669], [0.8334, 0.6670, 0.8335], [0.1666, 0.3330, 0.1665], [0.0830, 0.1668, 0.3331]],
  "de_polymorph_kj_per_mol_atoms": 0.0,
  "delta_e_f_ev_per_atom": 0.019
}

{
  "formula": "Ac8Rh3I3Cl",
  "functional": "GGA-PBE",
  "state": "relaxed",
  "lattice": [[-6.9620, -5.3864, 1.6078], [7.2638, -0.4030, 5.2034], [-5.7939, 7.7892, 1.0066]],
  "species": ["Ac", "Ac", "Ac", "Ac", "Ac", "Ac", "Ac", "Ac", "Rh", "Rh", "Rh", "I", "I", "I", "Cl"],
  "frac_coords": [[0.2710, 0.5421, 0.3134], [0.7290, 0.4579, 0.6866], [0.7512, 0.5023, 0.2983], [0.2488, 0.4977, 0.7017], [0.7511, 0.0470, 0.2986], [0.2489, 0.9530, 0.7014], [0.2959, 0.0470, 0.2986], [0.7041, 0.9530, 0.7014], [0.5000, 0.0000, 0.5000], [0.5000, 0.5000, 0.5000], [0.0000, 0.5000, 0.5000], [0.0000, 0.0000, 0.0000], [0.0000, 0.5000, 0.0000], [0.5000, 0.5000, 0.0000], [0.0000, 0.0000, 0.5000]]
}

{
  "formula": "La6Ag2Ir",
  "functional": "GGA-PBE",
  "state": "relaxed",
  "lattice": [[8.4207, 0.0591, 2.9222], [-4.4401, 7.2232, 2.7500], [-0.1153, 0.0591, 8.9126]],
  "species": ["La", "La", "La", "La", "La", "La", "La", "La", "La", "La", "La", "La", "Ag", "Ag", "Ag", "Ag", "Ir", "Ir"],
  "frac_coords": [[0.1572, 0.7561, 0.0868], [0.8428, 0.2439, 0.9132], [0.1572, 0.2439, 0.5989], [0.8428, 0.7561, 0.4011], [0.4525, 0.2719, 0.8194], [0.5475, 0.7281, 0.1806], [0.0913, 0.2719, 0.1806], [0.9087, 0.7281, 0.8194], [0.3421, 0.0651, 0.2770], [0.6579, 0.9349, 0.7230], [0.3421, 0.6192, 0.7230], [0.6579, 0.3808, 0.2770], [0.1367, 0.6367, 0.5000], [0.8633, 0.3633, 0.5000], [0.3539, 0.0000, 0.6461], [0.6461, 0.0000, 0.3539], [0.5000, 0.5000, 0.0000], [0.0000, 0.0000, 0.0000]],
  "de_polymorph_kj_per_mol_atoms": 3.6,
  "delta_e_f_ev_per_atom": -0.251
}

{
  "formula": "RePtSe4",
  "functional": "GGA-PBE",
  "state": "relaxed",
  "lattice": [[-0.7146, -0.0528, -3.4157], [-1.8386, -6.2043, 2.2665], [-4.0405, 5.2652, 0.7654]],
  "species": ["Re", "Pt", "Se", "Se", "Se", "Se"],
  "frac_coords": [[0.5000, 0.9999, 0.5000], [0.0000, 0.0000, 0.0000], [0.8752, 0.7510, 0.5473], [0.1248, 0.2489, 0.4527], [0.3771, 0.7548, 0.0545], [0.6228, 0.2452, 0.9455]],
  "de_polymorph_kj_per_mol_atoms": 0.0
}

{
  "formula": "La2NiAgC",
  "functional": "GGA-PBE",
  "state": "relaxed",
  "lattice": [[5.3990, 0.0000, 0.0000], [0.0000, 5.3990, 0.0000], [0.0000, 0.0000, 3.6917]],
  "species": ["Ni", "C", "Ag", "La", "La"],
  "frac_coords": [[0.0000, 0.0000, 0.5000], [0.0000, 0.0000, 0.0000], [0.5000, 0.5000, 0.5000], [0.0000, 0.5000, 0.0000], [0.5000, 0.0000, 0.0000]],
  "delta_e_f_ev_per_atom": -0.249
}

no.,Fermi-level density of states (states/eV/f.u.),calculated total energy (eV/f.u.)
1,1.513,-19.2
2,3.300,-37.7
3,4.100,-22.7
4,15.306,-54.8
5,8.896,-75.4
6,7.914,-46.4
7,3.796,-33.3
8,3.504,-29.0